Cs2Rb4SiAs2 | PBE | relaxed

The calculated total energy is -0.1712 Ry/atom. The calculated volume comes out at 64.17 Å³ per atom. The calculation puts the energy relative to the elements, uncorrected at -0.073 eV per atom.

Cell lengths 16.8051, 9.4126, 7.6499 Å; angles 90.00, 107.33, 90.00 degrees
Last column: nearest neighbours and their distance in Å.
Space group C2/m (No. 12)
Inequivalent atoms, fractional coordinates:
Cs1 0.1917 0.0000 0.4502 [4 per cell]  1 As 3.71
Rb1 0.1025 0.2729 0.8937 [8 per cell]  1 Si 3.68, 2 As 3.70-4.01
Si1 0.0000 0.5000 0.5000 [2 per cell]  2 As 2.20
As1 0.0805 0.5000 0.3197 [4 per cell]  1 Si 2.20